{
  "formula": "HfTiFeRe",
  "functional": "PBE",
  "state": "relaxed",
  "lattice_angstrom": [[-2.125, 3.747, 1.061], [-2.624, 0.126, 3.575], [1.235, 2.314, 3.578]],
  "species": ["Fe", "Hf", "Re", "Ti"],
  "frac_coords": [[0.000, 0.000, 0.000], [0.250, 0.250, 0.250], [0.500, 0.500, 0.500], [0.750, 0.750, 0.750]],
  "e_form_mev_per_atom": -313,
  "relative_energy_ev_per_atom": 0.000,
  "dos_ef_per_ev_cell": 2.880,
  "total_energy_ev_per_atom": -10.00,
  "space_group": "F-43m (216)"
}